Here is a geometry-optimized BaNaTl4Ni2 structure from OQMD via LeMat-Bulk. Energies are from GGA-PBE.

Results
Space-group type: Amm2 (38)
Mass density in g cm⁻³: 9.052
DFT total energy in eV per atom: -3.0166
Volume in Å³/f.u.: 200.9

Lattice parameters (Å, degrees): 8.121 6.053 6.053 42.48 90.00 90.00
Fractional positions:
Ba1 0.000 0.444 0.444
Na1 0.500 0.558 0.558
Ni1 0.500 0.282 0.282
Ni2 0.000 0.722 0.722
Tl1 0.212 0.151 0.151
Tl2 0.788 0.151 0.151
Tl3 0.311 0.847 0.847
Tl4 0.689 0.847 0.847

---

Here is a geometry-optimized BaNaNp structure from OQMD via LeMat-Bulk. Energies are from GGA-PBE.

Results
Space-group type: F-43m (216)
Mass density in g cm⁻³: 4.955
DFT total energy in eV per atom: -4.1272
Volume in Å³/f.u.: 133.2

Lattice parameters (Å, degrees): 5.732 5.732 5.732 60.00 60.00 60.00
Fractional positions:
Ba1 0.250 0.250 0.250
Na1 0.000 0.000 0.000
Np1 0.750 0.750 0.750